The following is a DFT calculation (PBE) of a relaxed structure of Er2ScAs3.

Summary:
Calculated volume: 137 Å³/f.u.
Total energy: -38.2 eV/cell
Size of the total moment: 0.002 μB/cell

a = 4.0131 Å, b = 4.0131 Å, c = 9.8107 Å
α = 90.00°, β = 90.00°, γ = 120.00°
Last column: nearest neighbours and their distance in Å.
Space group P-3m1 (No. 164)
One atom of each set of equivalent atoms:
Er 0.3333 0.6667 0.3286 x2  6 As 2.86-2.87
Sc 0.0000 0.0000 0.0000 x1  6 As 2.78
As 0.0000 0.0000 0.5000 x1  6 Er 2.86
As 0.3333 0.6667 0.8436 x2  3 Sc 2.78, 3 Er 2.87